The following is a DFT calculation (GGA-PBEsol) of an optimized crystal structure of KFeCl2.

Computed properties:
E above lowest polymorph: 0 meV/atom
Mass density: 3.07 g/cm³
Total DFT energy (no corrections): -0.157 hartree per atom
Volume: 22.453 Å³ per atom
Spin magnetization: 0.750 μB/atom

a b c (Å): 3.733 3.570 6.739
angles (deg): 90.00 90.06 90.00
Space group P2/m (No. 10)
Symmetry-distinct sites (fractional):
K1 0.000 0.000 0.000 x1
Fe1 0.500 0.000 0.500 x1
Cl1 0.499 0.500 0.734 x2